Entry one
Below is a relaxed structure of CaSmHgRh, with properties calculated at the PBE level.

```
CaSmHgRh
1.0
3.620 0.000 0.000
0.000 3.620 0.000
0.000 0.000 7.382
Ca Sm Hg Rh
1 1 1 1
direct
0.000 0.000 0.000 Ca
0.000 0.000 0.550 Sm
0.500 0.500 0.272 Hg
0.500 0.500 0.744 Rh
```

Entry two
Below is a relaxed structure of CaSmHgRh, with properties calculated at the PBE level.

```
CaSmHgRh
1.0
0.000 3.621 3.621
3.621 0.000 3.621
3.621 3.621 0.000
Ca Sm Hg Rh
1 1 1 1
direct
0.000 0.000 0.000 Ca
0.500 0.500 0.500 Sm
0.250 0.250 0.250 Hg
0.750 0.750 0.750 Rh
```

Least stable of them? entry two.

Entry one
Below is a relaxed structure of Sr2CaHgRh, with properties calculated at the PBE level.

```
Sr2CaHgRh
1.0
6.553 0.000 0.000
0.000 6.553 0.000
0.000 0.000 4.736
Sr Ca Hg Rh
2 1 1 1
direct
0.000 0.500 0.000 Sr
0.500 0.000 0.000 Sr
0.000 0.000 0.000 Ca
0.500 0.500 0.500 Hg
0.000 0.000 0.500 Rh
```

Entry two
Below is a relaxed structure of Sr2CaHgRh, with properties calculated at the PBE level.

```
Sr2CaHgRh
1.0
5.806 0.000 0.000
0.000 5.806 0.000
0.000 0.000 5.428
Sr Ca Hg Rh
2 1 1 1
direct
0.000 0.500 0.000 Sr
0.500 0.000 0.000 Sr
0.000 0.000 0.500 Ca
0.500 0.500 0.500 Hg
0.000 0.000 0.000 Rh
```

Least stable of them? entry one.

Entry one
Below is a relaxed structure of CaTbHgRh, with properties calculated at the PBE level.

```
CaTbHgRh
1.0
3.579 0.000 0.000
0.000 3.579 0.000
0.000 0.000 7.360
Ca Tb Hg Rh
1 1 1 1
direct
0.000 0.000 0.000 Ca
0.000 0.000 0.549 Tb
0.500 0.500 0.278 Hg
0.500 0.500 0.740 Rh
```

Entry two
Below is a relaxed structure of CaTbHgRh, with properties calculated at the PBE level.

```
CaTbHgRh
1.0
0.000 3.587 3.587
3.587 0.000 3.587
3.587 3.587 0.000
Ca Tb Hg Rh
1 1 1 1
direct
0.000 0.000 0.000 Ca
0.500 0.500 0.500 Tb
0.250 0.250 0.250 Hg
0.750 0.750 0.750 Rh
```

Least stable of them? entry two.

Entry one
Below is a relaxed structure of CaHg2Ru2, with properties calculated at the PBE level.

```
CaHg2Ru2
1.0
7.864 0.000 0.000
0.000 7.864 0.000
0.000 0.000 3.225
Ca Hg Ru
2 4 4
direct
0.000 0.000 0.000 Ca
0.500 0.500 0.000 Ca
0.184 0.316 0.500 Hg
0.316 0.816 0.500 Hg
0.684 0.184 0.500 Hg
0.816 0.684 0.500 Hg
0.109 0.609 0.000 Ru
0.391 0.109 0.000 Ru
0.609 0.891 0.000 Ru
0.891 0.391 0.000 Ru
```

Entry two
Below is a relaxed structure of CaHg2Ru2, with properties calculated at the PBE level.

```
CaHg2Ru2
1.0
-2.409 2.409 4.780
2.409 -2.409 4.780
2.409 2.409 -4.780
Ca Hg Ru
1 2 2
direct
0.000 0.000 0.000 Ca
0.250 0.750 0.500 Hg
0.750 0.250 0.500 Hg
0.383 0.383 0.000 Ru
0.617 0.617 0.000 Ru
```

Least stable of them? entry one.

Entry one
Below is a relaxed structure of CaHg2Ru, with properties calculated at the PBE level.

```
CaHg2Ru
1.0
0.000 3.468 3.468
3.468 0.000 3.468
3.468 3.468 0.000
Ca Hg Ru
1 2 1
direct
0.000 0.000 0.000 Ca
0.250 0.250 0.250 Hg
0.750 0.750 0.750 Hg
0.500 0.500 0.500 Ru
```

Entry two
Below is a relaxed structure of CaHg2Ru, with properties calculated at the PBE level.

```
CaHg2Ru
1.0
1.668 0.963 9.307
-1.668 0.963 9.307
0.000 -1.927 9.307
Ca Hg Ru
1 2 1
direct
0.000 0.000 0.000 Ca
0.243 0.243 0.243 Hg
0.757 0.757 0.757 Hg
0.500 0.500 0.500 Ru
```

Least stable of them? entry two.

Entry one
Below is a relaxed structure of CaHg2Ru, with properties calculated at the PBE level.

```
CaHg2Ru
1.0
-2.035 2.228 4.588
2.035 -2.228 4.588
2.035 2.228 -4.588
Ca Hg Ru
1 2 1
direct
0.000 0.000 0.000 Ca
0.259 0.759 0.500 Hg
0.513 0.513 0.000 Hg
0.748 0.248 0.500 Ru
```

Entry two
Below is a relaxed structure of CaHg2Ru, with properties calculated at the PBE level.

```
CaHg2Ru
1.0
3.700 0.000 0.000
0.000 3.700 0.000
0.000 0.000 6.279
Ca Hg Ru
1 2 1
direct
0.000 0.000 0.000 Ca
0.000 0.000 0.542 Hg
0.500 0.500 0.277 Hg
0.500 0.500 0.736 Ru
```

Entry three
Below is a relaxed structure of CaHg2Ru, with properties calculated at the PBE level.

```
CaHg2Ru
1.0
3.605 0.000 0.000
0.000 3.605 0.000
0.000 0.000 6.472
Ca Hg Ru
1 2 1
direct
0.000 0.000 0.000 Ca
0.500 0.500 0.278 Hg
0.500 0.500 0.722 Hg
0.000 0.000 0.500 Ru
```

Entry four
Below is a relaxed structure of CaHg2Ru, with properties calculated at the PBE level.

```
CaHg2Ru
1.0
-2.207 2.207 9.940
2.207 -2.207 9.940
2.207 2.207 -9.940
Ca Hg Ru
2 4 2
direct
0.000 0.000 0.000 Ca
0.750 0.250 0.500 Ca
0.171 0.625 0.046 Hg
0.375 0.421 0.546 Hg
0.579 0.125 0.954 Hg
0.875 0.829 0.454 Hg
0.250 0.750 0.500 Ru
0.500 0.500 0.000 Ru
```

Least stable of them? entry four.

Entry one
Below is a relaxed structure of CaHg2Ru, with properties calculated at the PBE level.

```
CaHg2Ru
1.0
-2.219 2.219 4.183
2.219 -2.219 4.183
2.219 2.219 -4.183
Ca Hg Ru
1 2 1
direct
0.000 0.000 0.000 Ca
0.250 0.750 0.500 Hg
0.750 0.250 0.500 Hg
0.500 0.500 0.000 Ru
```

Entry two
Below is a relaxed structure of CaHg2Ru, with properties calculated at the PBE level.

```
CaHg2Ru
1.0
1.660 0.958 9.419
-1.660 0.958 9.419
0.000 -1.917 9.419
Ca Hg Ru
1 2 1
direct
0.000 0.000 0.000 Ca
0.240 0.240 0.240 Hg
0.483 0.483 0.483 Hg
0.742 0.742 0.742 Ru
```

Entry three
Below is a relaxed structure of CaHg2Ru, with properties calculated at the PBE level.

```
CaHg2Ru
1.0
3.288 0.000 0.000
0.000 4.786 0.000
-0.021 0.000 5.764
Ca Hg Ru
1 2 1
direct
0.000 0.000 0.000 Ca
0.498 0.000 0.536 Hg
0.502 0.500 0.259 Hg
0.498 0.500 0.779 Ru
```

Entry four
Below is a relaxed structure of CaHg2Ru, with properties calculated at the PBE level.

```
CaHg2Ru
1.0
0.000 3.468 3.468
3.468 0.000 3.468
3.468 3.468 0.000
Ca Hg Ru
1 2 1
direct
0.000 0.000 0.000 Ca
0.250 0.250 0.250 Hg
0.500 0.500 0.500 Hg
0.750 0.750 0.750 Ru
```

Least stable of them? entry two.

Entry one
Below is a relaxed structure of Ca2HgS2, with properties calculated at the PBE level.

```
Ca2HgS2
1.0
-2.611 2.611 6.128
2.611 -2.611 6.128
2.611 2.611 -6.128
Ca Hg S
2 1 2
direct
0.250 0.750 0.500 Ca
0.750 0.250 0.500 Ca
0.000 0.000 0.000 Hg
0.317 0.317 0.000 S
0.683 0.683 0.000 S
```

Entry two
Below is a relaxed structure of Ca2HgS2, with properties calculated at the PBE level.

```
Ca2HgS2
1.0
7.995 0.000 0.000
0.000 7.995 0.000
0.000 0.000 3.605
Ca Hg S
4 2 4
direct
0.155 0.345 0.000 Ca
0.345 0.845 0.000 Ca
0.655 0.155 0.000 Ca
0.845 0.655 0.000 Ca
0.000 0.000 0.500 Hg
0.500 0.500 0.500 Hg
0.147 0.647 0.500 S
0.353 0.147 0.500 S
0.647 0.853 0.500 S
0.853 0.353 0.500 S
```

Least stable of them? entry two.

Entry one
Below is a relaxed structure of CaHg3S, with properties calculated at the PBE level.

```
CaHg3S
1.0
5.321 0.000 0.000
0.000 5.321 0.000
0.000 0.000 5.321
Ca Hg S
1 3 1
direct
0.000 0.000 0.000 Ca
0.000 0.500 0.500 Hg
0.500 0.000 0.500 Hg
0.500 0.500 0.000 Hg
0.500 0.500 0.500 S
```

Entry two
Below is a relaxed structure of CaHg3S, with properties calculated at the PBE level.

```
CaHg3S
1.0
5.865 0.000 0.000
0.000 5.865 0.000
0.000 0.000 5.865
Ca Hg S
1 3 1
direct
0.000 0.000 0.000 Ca
0.000 0.000 0.500 Hg
0.000 0.500 0.000 Hg
0.500 0.000 0.000 Hg
0.500 0.500 0.500 S
```

Least stable of them? entry two.

Entry one
Below is a relaxed structure of CaHgS, with properties calculated at the PBE level.

```
CaHgS
1.0
4.171 0.000 0.000
-2.085 3.612 0.000
0.000 0.000 5.481
Ca Hg S
1 1 1
direct
0.000 0.000 0.000 Ca
0.667 0.333 0.580 Hg
0.333 0.667 0.228 S
```

Entry two
Below is a relaxed structure of CaHgS, with properties calculated at the PBE level.

```
CaHgS
1.0
6.558 -2.009 0.000
6.558 2.009 0.000
-5.739 0.000 7.028
Ca Hg S
2 2 2
direct
0.000 0.000 0.000 Ca
0.662 0.662 0.499 Ca
0.456 0.456 0.580 Hg
0.896 0.896 0.246 Hg
0.322 0.322 0.742 S
0.674 0.674 0.214 S
```

Least stable of them? entry one.

Entry one
Below is a relaxed structure of CaHgS, with properties calculated at the PBE level.

```
CaHgS
1.0
3.893 0.000 0.000
-1.894 6.426 0.000
-0.001 -0.763 7.237
Ca Hg S
2 2 2
direct
0.000 0.000 0.000 Ca
0.000 0.000 0.500 Ca
0.219 0.444 0.304 Hg
0.781 0.556 0.696 Hg
0.440 0.877 0.237 S
0.560 0.123 0.763 S
```

Entry two
Below is a relaxed structure of CaHgS, with properties calculated at the PBE level.

```
CaHgS
1.0
3.563 -2.057 0.000
3.563 2.057 0.000
-2.346 0.000 5.686
Ca Hg S
1 1 1
direct
0.000 0.000 0.000 Ca
0.800 0.800 0.407 Hg
0.257 0.257 0.768 S
```

Least stable of them? entry two.

Entry one
Below is a relaxed structure of Ca4HgSb, with properties calculated at the PBE level.

```
Ca4HgSb
1.0
0.000 4.700 4.700
4.700 0.000 4.700
4.700 4.700 0.000
Ca Hg Sb
4 1 1
direct
0.376 0.376 0.376 Ca
0.376 0.376 0.872 Ca
0.376 0.872 0.376 Ca
0.872 0.376 0.376 Ca
0.000 0.000 0.000 Hg
0.750 0.750 0.750 Sb
```

Entry two
Below is a relaxed structure of Ca4HgSb, with properties calculated at the PBE level.

```
Ca4HgSb
1.0
5.230 0.000 0.000
0.000 5.230 0.000
0.000 0.000 7.669
Ca Hg Sb
4 1 1
direct
0.000 0.500 0.243 Ca
0.000 0.500 0.757 Ca
0.500 0.000 0.243 Ca
0.500 0.000 0.757 Ca
0.000 0.000 0.000 Hg
0.500 0.500 0.500 Sb
```

Least stable of them? entry one.